# Cs2K5Hg GGA-PBE relaxed
# - Uncorrected energy: -15.14 eV per cell
# - Energy of formation from the pure elements: -0.010 eV per atom
data_Cs2K5Hg
_chemical_formula_sum 'Cs4 K10 Hg2'
_cell_length_a 8.5999
_cell_length_b 8.5999
_cell_length_c 17.2767
_cell_angle_alpha 90.00
_cell_angle_beta 90.00
_cell_angle_gamma 90.00
_space_group_name_H-M_alt 'I 4 m m'
_space_group_IT_number 107
_space_group_name_Hall 'I 4 -2'
loop_
_atom_site_label
_atom_site_type_symbol
_atom_site_fract_x
_atom_site_fract_y
_atom_site_fract_z
_atom_site_occupancy
Cs1 Cs 0.0000 0.5000 0.0000 1
K1 K 0.0000 0.0000 0.0942 1
K2 K 0.2432 0.2432 0.7732 1
Hg1 Hg 0.0000 0.0000 0.8950 1